Pu3SbTe2 | the Alexandria database | PBE | relaxed; energy = -9.849 eV/atom; formation energy without anion corrections = -0.949 eV per atom; M_tot = 33.78 Bohr magnetons per cell; crystal system = orthorhombic
1.0
4.4503 0.0000 0.0000
0.0000 6.2821 0.0000
0.0000 0.0000 13.3281
Pu Sb Te
6 2 4
Cartesian
0.0000 0.0000 0.0000 Pu
0.0000 0.0000 4.4730 Pu
0.0000 0.0000 8.8551 Pu
2.2252 3.1410 2.1910 Pu
2.2252 3.1410 6.6640 Pu
2.2252 3.1410 11.1370 Pu
0.0000 3.1410 0.0000 Sb
2.2252 0.0000 6.6640 Sb
0.0000 3.1410 4.4291 Te
0.0000 3.1410 8.8990 Te
2.2252 0.0000 2.2350 Te
2.2252 0.0000 11.0931 Te